# CsTcN2 | OQMD | PBE | optimized geometry
# Volume (A^3/atom): 20.02
# Raw total energy (eV per atom): -7.163
data_CsTcN2
_symmetry_space_group_name_H-M 'P 1'
_symmetry_Int_Tables_number 1
_symmetry_space_group_name_Hall 'P 1'
_cell_length_a 6.103
_cell_length_b 6.103
_cell_length_c 6.103
_cell_angle_alpha 120.24
_cell_angle_beta 120.24
_cell_angle_gamma 89.58
loop_
_atom_site_label
_atom_site_type_symbol
_atom_site_fract_x
_atom_site_fract_y
_atom_site_fract_z
_atom_site_occupancy
Cs1 Cs 0.500 0.500 0.000 1
Cs2 Cs 0.250 0.750 0.500 1
N1 N 0.375 0.122 0.247 1
N2 N 0.878 0.125 0.253 1
N3 N 0.872 0.625 0.747 1
N4 N 0.875 0.128 0.753 1
Tc1 Tc 0.000 0.000 0.000 1
Tc2 Tc 0.750 0.250 0.500 1